Entry 1:
Material: MgZnCdF6
Method: DFT, PBE-GGA
State: optimized geometry

Results
Formation energy from raw total energies, eV/f.u.: -24.108
Symmetry: P-31c (163)
E_tot, eV for the cell shown: -78.24

abc: 5.3185 5.3185 9.6203
angles: 90.00 90.00 120.00
Atoms (fractional coordinates):
Mg1 0.3333 0.6667 0.2500
Mg2 0.6667 0.3333 0.7500
Zn1 0.3333 0.6667 0.7500
Zn2 0.6667 0.3333 0.2500
Cd1 0.0000 0.0000 0.0000
Cd2 0.0000 0.0000 0.5000
F1 0.0074 0.3558 0.1370
F2 0.0074 0.6517 0.3630
F3 0.3483 0.3558 0.3630
F4 0.3483 0.9926 0.1370
F5 0.3558 0.0074 0.6370
F6 0.3558 0.3483 0.8630
F7 0.6442 0.6517 0.1370
F8 0.6442 0.9926 0.3630
F9 0.6517 0.0074 0.8630
F10 0.6517 0.6442 0.6370
F11 0.9926 0.3483 0.6370
F12 0.9926 0.6442 0.8630

***

Entry 2:
Material: MgZnCd2F
Method: DFT, PBE-GGA
State: optimized geometry

Results
Formation energy from raw total energies, eV/f.u.: 0.119
Symmetry: P4/mmm (123)
E_tot, eV for the cell shown: -6.45

abc: 5.4754 5.4754 5.1793
angles: 90.00 90.00 90.00
Atoms (fractional coordinates):
Mg1 0.0000 0.0000 0.0000
Zn1 0.0000 0.0000 0.5000
Cd1 0.0000 0.5000 0.0000
Cd2 0.5000 0.0000 0.0000
F1 0.5000 0.5000 0.5000

***

Which of these has the highest E_tot?
MgZnCd2F